# 1
FeAg2Au | PBE-GGA | optimized geometry

Lattice parameters (Å, degrees): 6.445 6.445 6.445 90.00 90.00 90.00
Space group F-43m (No. 216)
Unique sites:
Fe 0.000 0.000 0.000 (multiplicity 4)
Ag 0.000 0.000 0.500 (multiplicity 4)
Ag 0.250 0.250 0.750 (multiplicity 4)
Au 0.250 0.250 0.250 (multiplicity 4)

Size of the total moment (μB per atom): 0.761
Calculated formation energy (meV per atom): 225

---

# 2
GaFeAgAu | PBE-GGA | optimized geometry

Lattice parameters (Å, degrees): 6.370 6.370 6.370 90.00 90.00 90.00
Space group F-43m (No. 216)
Unique sites:
Ga 0.000 0.000 0.000 (multiplicity 4)
Fe 0.250 0.250 0.250 (multiplicity 4)
Ag 0.250 0.250 0.750 (multiplicity 4)
Au 0.000 0.000 0.500 (multiplicity 4)

Size of the total moment (μB per atom): 0.691

---

# 3
InFeAgAu | PBE-GGA | optimized geometry

Lattice parameters (Å, degrees): 6.551 6.551 6.551 90.00 90.00 90.00
Space group F-43m (No. 216)
Unique sites:
In 0.000 0.000 0.000 (multiplicity 4)
Fe 0.250 0.250 0.250 (multiplicity 4)
Ag 0.250 0.250 0.750 (multiplicity 4)
Au 0.000 0.000 0.500 (multiplicity 4)

Size of the total moment (μB per atom): 0.689

---

# 4
Fe2AgAuN4 | PBE-GGA | optimized geometry

Lattice parameters (Å, degrees): 2.8322 2.8322 12.5338 90.00 90.00 120.00
Space group P-6m2 (No. 187)
Unique sites:
Fe 0.0000 0.0000 0.2488 (multiplicity 2)
Ag 0.3333 0.6667 0.5000 (multiplicity 1)
Au 0.6667 0.3333 0.0000 (multiplicity 1)
N 0.3333 0.6667 0.3321 (multiplicity 2)
N 0.6667 0.3333 0.1644 (multiplicity 2)

Size of the total moment (μB per atom): 0.548

---

# 5
Fe2AgAuS4 | PBE-GGA | optimized geometry

Lattice parameters (Å, degrees): 3.3228 3.3228 14.3399 90.00 90.00 120.00
Space group P-6m2 (No. 187)
Unique sites:
Fe 0.0000 0.0000 0.2475 (multiplicity 2)
Ag 0.3333 0.6667 0.5000 (multiplicity 1)
Au 0.6667 0.3333 0.0000 (multiplicity 1)
S 0.3333 0.6667 0.3319 (multiplicity 2)
S 0.6667 0.3333 0.1639 (multiplicity 2)

Size of the total moment (μB per atom): 0.249

---

# 6
FeAgSbAu | PBE-GGA | optimized geometry

Lattice parameters (Å, degrees): 6.619 6.619 6.619 90.00 90.00 90.00
Space group F-43m (No. 216)
Unique sites:
Fe 0.000 0.000 0.000 (multiplicity 4)
Ag 0.000 0.000 0.500 (multiplicity 4)
Sb 0.250 0.250 0.750 (multiplicity 4)
Au 0.250 0.250 0.250 (multiplicity 4)

Size of the total moment (μB per atom): 0.631

---

# 7
FeSiAgAu | PBE-GGA | optimized geometry

Lattice parameters (Å, degrees): 6.289 6.289 6.289 90.00 90.00 90.00
Space group F-43m (No. 216)
Unique sites:
Fe 0.000 0.000 0.000 (multiplicity 4)
Si 0.250 0.250 0.750 (multiplicity 4)
Ag 0.250 0.250 0.250 (multiplicity 4)
Au 0.000 0.000 0.500 (multiplicity 4)

Size of the total moment (μB per atom): 0.657

---

# 8
ZnFeAgAu | PBE-GGA | optimized geometry

Lattice parameters (Å, degrees): 6.327 6.327 6.327 90.00 90.00 90.00
Space group F-43m (No. 216)
Unique sites:
Zn 0.000 0.000 0.000 (multiplicity 4)
Fe 0.250 0.250 0.250 (multiplicity 4)
Ag 0.250 0.250 0.750 (multiplicity 4)
Au 0.000 0.000 0.500 (multiplicity 4)

Size of the total moment (μB per atom): 0.728
Calculated formation energy (meV per atom): 139

---

# 9
GaAgAu2 | PBE-GGA | optimized geometry

Lattice parameters (Å, degrees): 6.598 6.598 6.598 90.00 90.00 90.00
Space group F-43m (No. 216)
Unique sites:
Ga 0.000 0.000 0.000 (multiplicity 4)
Ag 0.250 0.250 0.250 (multiplicity 4)
Au 0.000 0.000 0.500 (multiplicity 4)
Au 0.250 0.250 0.750 (multiplicity 4)

---

# 10
GaAg2Au | PBE-GGA | optimized geometry

Lattice parameters (Å, degrees): 6.564 6.564 6.564 90.00 90.00 90.00
Space group F-43m (No. 216)
Unique sites:
Ga 0.000 0.000 0.000 (multiplicity 4)
Ag 0.000 0.000 0.500 (multiplicity 4)
Ag 0.250 0.250 0.750 (multiplicity 4)
Au 0.250 0.250 0.250 (multiplicity 4)

---

# 11
GaAgAu | PBE-GGA | optimized geometry

Lattice parameters (Å, degrees): 6.175 6.175 6.175 90.00 90.00 90.00
Space group F-43m (No. 216)
Unique sites:
Ga 0.000 0.000 0.000 (multiplicity 4)
Ag 0.250 0.250 0.750 (multiplicity 4)
Au 0.250 0.250 0.250 (multiplicity 4)

---

# 12
GaAg2Au2 | PBE-GGA | optimized geometry

Lattice parameters (Å, degrees): 3.890 3.890 13.563 90.00 90.00 90.00
Space group I4/mmm (No. 139)
Unique sites:
Ga 0.000 0.000 0.000 (multiplicity 2)
Ag 0.000 0.000 0.403 (multiplicity 4)
Au 0.000 0.500 0.250 (multiplicity 4)

---

# 13
GaAg2Au2 | PBE-GGA | optimized geometry

Lattice parameters (Å, degrees): 3.881 3.881 13.541 90.00 90.00 90.00
Space group I4/mmm (No. 139)
Unique sites:
Ga 0.000 0.000 0.000 (multiplicity 2)
Ag 0.000 0.500 0.250 (multiplicity 4)
Au 0.000 0.000 0.402 (multiplicity 4)

---

# 14
InGaAgAu | PBE-GGA | optimized geometry

Lattice parameters (Å, degrees): 6.829 6.829 6.829 90.00 90.00 90.00
Space group F-43m (No. 216)
Unique sites:
In 0.000 0.000 0.000 (multiplicity 4)
Ga 0.000 0.000 0.500 (multiplicity 4)
Ag 0.250 0.250 0.750 (multiplicity 4)
Au 0.250 0.250 0.250 (multiplicity 4)

---

# 15
Li2InGaAg2Au2 | PBE-GGA | optimized geometry

Lattice parameters (Å, degrees): 4.517 4.517 6.681 90.00 90.00 90.00
Space group P-4m2 (No. 115)
Unique sites:
Li 0.000 0.000 0.000 (multiplicity 1)
Li 0.500 0.500 0.500 (multiplicity 1)
In 0.000 0.000 0.500 (multiplicity 1)
Ga 0.500 0.500 0.000 (multiplicity 1)
Ag 0.000 0.500 0.767 (multiplicity 2)
Au 0.000 0.500 0.231 (multiplicity 2)

---

# 16
Na2InGaAg2Au2 | PBE-GGA | optimized geometry

Lattice parameters (Å, degrees): 4.745 4.745 6.896 90.00 90.00 90.00
Space group P-4m2 (No. 115)
Unique sites:
Na 0.000 0.000 0.000 (multiplicity 1)
Na 0.500 0.500 0.500 (multiplicity 1)
In 0.000 0.000 0.500 (multiplicity 1)
Ga 0.500 0.500 0.000 (multiplicity 1)
Ag 0.000 0.500 0.765 (multiplicity 2)
Au 0.000 0.500 0.234 (multiplicity 2)

---

# 17
LiGaAgAu | PBE-GGA | optimized geometry

Lattice parameters (Å, degrees): 4.489 4.489 6.329 90.00 90.00 90.00
Space group P-4m2 (No. 115)
Unique sites:
Li 0.000 0.000 0.000 (multiplicity 1)
Li 0.500 0.500 0.500 (multiplicity 1)
Ga 0.000 0.000 0.500 (multiplicity 1)
Ga 0.500 0.500 0.000 (multiplicity 1)
Ag 0.000 0.500 0.750 (multiplicity 2)
Au 0.000 0.500 0.246 (multiplicity 2)

---

# 18
LiGaAgAu | PBE-GGA | optimized geometry

Lattice parameters (Å, degrees): 6.425 6.425 6.425 90.00 90.00 90.00
Space group F-43m (No. 216)
Unique sites:
Li 0.000 0.000 0.000 (multiplicity 4)
Ga 0.250 0.250 0.750 (multiplicity 4)
Ag 0.250 0.250 0.250 (multiplicity 4)
Au 0.000 0.000 0.500 (multiplicity 4)

---

# 19
LiGaAgAu | PBE-GGA | optimized geometry

Lattice parameters (Å, degrees): 6.347 6.347 6.347 90.00 90.00 90.00
Space group F-43m (No. 216)
Unique sites:
Li 0.000 0.000 0.000 (multiplicity 4)
Ga 0.000 0.000 0.500 (multiplicity 4)
Ag 0.250 0.250 0.250 (multiplicity 4)
Au 0.250 0.250 0.750 (multiplicity 4)

---

# 20
Li4Ga2AgAu | PBE-GGA | optimized geometry

Lattice parameters (Å, degrees): 4.408 4.408 6.213 90.00 90.00 90.00
Space group P-4m2 (No. 115)
Unique sites:
Li 0.000 0.000 0.000 (multiplicity 1)
Li 0.000 0.500 0.748 (multiplicity 2)
Li 0.500 0.500 0.500 (multiplicity 1)
Ga 0.000 0.500 0.253 (multiplicity 2)
Ag 0.500 0.500 0.000 (multiplicity 1)
Au 0.000 0.000 0.500 (multiplicity 1)

---

no.,DFT total energy (eV per cell)
1,-65.30
2,-67.64
3,-66.04
4,-51.84
5,-41.29
6,-70.07
7,-75.08
8,-60.43
9,-50.32
10,-48.69
11,-37.01
12,-29.11
13,-29.57
14,-47.79
15,-24.56
16,-21.91
17,-24.91
18,-48.90
19,-49.82
20,-23.03